[1]
10
Lattice="-3.750 -1.680 -1.306 3.009 -3.382 -4.291 0.648 -4.643 4.114" Properties=species:S:1:pos:R:3 comment="Mg2GeIr2 | Alexandria | PBEsol | relaxed" dft_energy_ev_per_atom=-5.974 total_magnetization_mub_per_cell=0.00 pbc="T T T"
Ge 0.000 0.000 0.000
Ge 1.829 -4.012 -0.089
Ir 1.623 -5.172 1.994
Ir 2.992 -5.886 -1.017
Ir 2.034 -2.852 -2.171
Ir 0.666 -2.139 0.840
Mg -0.952 -4.475 1.375
Mg 0.664 -6.968 -0.060
Mg 0.860 -5.229 -2.858
Mg -0.757 -2.737 -1.422



[2]
4
Lattice="-2.386 -3.458 0.892 1.165 -3.855 -1.491 1.480 -2.990 2.704" Properties=species:S:1:pos:R:3 comment="CrAg2C | Alexandria | PBEsol | relaxed" dft_energy_ev_per_atom=-5.063 total_magnetization_mub_per_cell=3.95 pbc="T T T"
Cr 0.130 -5.152 1.053
C 0.000 0.000 0.000
Ag 0.065 -2.576 0.526
Ag 0.195 -7.727 1.579



[3]
4
Lattice="5.599 0.000 0.000 2.799 4.849 0.000 2.799 1.616 4.572" Properties=species:S:1:pos:R:3 comment="Sr2SnHg | Alexandria | PBEsol | relaxed" dft_energy_ev_per_atom=-2.816 total_magnetization_mub_per_cell=0.00 pbc="T T T"
Sr 2.799 1.616 1.143
Sr 8.398 4.849 3.429
Hg 5.599 3.233 2.286
Sn 0.000 0.000 0.000



[4]
13
Lattice="6.233 0.000 0.000 3.116 5.398 0.000 3.116 1.799 11.581" Properties=species:S:1:pos:R:3 comment="Li7Ca6 | Alexandria | PBEsol | relaxed" dft_energy_ev_per_atom=-2.039 total_magnetization_mub_per_cell=0.00 pbc="T T T"
Ca 3.116 1.799 9.837
Ca 9.349 5.398 1.744
Ca 3.116 1.799 6.252
Ca 9.349 5.398 5.328
Ca 3.116 1.799 0.017
Ca 9.349 5.398 11.564
Li 6.233 1.808 8.329
Li 4.682 4.494 8.329
Li 7.784 4.494 8.329
Li 6.233 5.390 3.252
Li 4.682 2.703 3.252
Li 7.784 2.703 3.252
Li 6.233 3.599 5.790



[5]
4
Lattice="4.430 0.000 0.000 2.215 3.837 0.000 2.215 1.279 3.617" Properties=species:S:1:pos:R:3 comment="ScMo2Ru | Alexandria | PBEsol | relaxed" e_above_lowest_polymorph_ev_per_fu=0.000 total_magnetization_mub_per_cell=0.00 pbc="T T T"
Mo 0.000 0.000 0.000
Mo 2.215 1.279 0.904
Ru 4.430 2.558 1.809
Sc 6.645 3.837 2.713



[6]
4
Lattice="-2.201 0.610 1.982 -0.612 -2.953 0.228 4.018 -0.477 4.608" Properties=species:S:1:pos:R:3 comment="ZnRe2As | Alexandria | PBEsol | relaxed" e_above_lowest_polymorph_ev_per_fu=0.502 total_magnetization_mub_per_cell=0.00 pbc="T T T"
As 0.602 -1.410 3.409
Re 2.977 -0.353 3.414
Re 1.041 -0.124 1.194
Zn -1.407 -1.172 1.105